The following is a DFT calculation (PBE) of crystalline ZrTcCl2 at its relaxed geometry.

abc: 10.3780 3.2135 5.6423
angles: 90.00 96.95 90.00
Space group Cm (No. 8)
One atom of each set of equivalent atoms:
1 Zr 0.0000 0.0000 0.0000 [2 per cell]
2 Tc 0.1299 0.5000 0.2780 [2 per cell]
3 Cl 0.0047 0.5000 0.6085 [2 per cell]
4 Cl 0.2767 0.0000 0.0271 [2 per cell]

Results
The calculation puts the energy above the most stable polymorph in this dataset at 186 meV per atom. The calculation puts the uncorrected formation energy at -35.67 kJ/mol of atoms. As for the raw total energy: -6.022 eV per atom.



The following is a DFT calculation (PBE) of crystalline KCdFeP at its relaxed geometry.

abc: 3.9165 3.9165 12.5548
angles: 90.00 90.00 90.00
Space group P4/nmm (No. 129, origin choice 2)
One atom of each set of equivalent atoms:
1 K 0.2500 0.2500 0.2341 [2 per cell]
2 Cd 0.2500 0.7500 0.5000 [2 per cell]
3 Fe 0.2500 0.7500 0.0000 [2 per cell]
4 P 0.2500 0.2500 0.9177 [2 per cell]

Results
As for the raw total energy: -4.291 eV per atom.



The following is a DFT calculation (PBE) of crystalline Ca2PrThSb4 at its relaxed geometry.

abc: 7.8124 4.5605 7.9229
angles: 90.00 109.71 90.00
Space group P2/m (No. 10)
One atom of each set of equivalent atoms:
1 Ca 0.0000 0.0000 0.0000 [1 per cell]
2 Ca 0.0000 0.5000 0.5000 [1 per cell]
3 Pr 0.5000 0.0000 0.5000 [1 per cell]
4 Th 0.5000 0.5000 0.0000 [1 per cell]
5 Sb 0.2526 0.5000 0.2481 [2 per cell]
6 Sb 0.2540 0.0000 0.7541 [2 per cell]

Results
The calculation puts the uncorrected formation energy at -93.32 kJ/mol of atoms. As for the raw total energy: -5.054 eV per atom.



The following is a DFT calculation (PBE) of crystalline Nd6HRh2I3 at its relaxed geometry.

abc: 7.1549 12.3296 8.4633
angles: 90.00 106.41 90.00
Space group C2/m (No. 12)
One atom of each set of equivalent atoms:
1 Nd 0.2268 0.0000 0.1860 [4 per cell]
2 Nd 0.2276 0.3333 0.1844 [8 per cell]
3 H 0.0000 0.5000 0.0000 [2 per cell]
4 Rh 0.0000 0.1664 0.0000 [4 per cell]
5 I 0.0000 0.0000 0.5000 [2 per cell]
6 I 0.0000 0.3319 0.5000 [4 per cell]

Results
As for the raw total energy: -5.063 eV per atom.



The following is a DFT calculation (PBE) of crystalline BeCdOs at its relaxed geometry.

abc: 4.2784 4.2784 2.7442
angles: 90.00 90.00 120.00
Space group P3m1 (No. 156)
One atom of each set of equivalent atoms:
1 Be 0.0000 0.0000 0.0000 [1 per cell]
2 Cd 0.3333 0.6667 0.2831 [1 per cell]
3 Os 0.6667 0.3333 0.7799 [1 per cell]

Results
The calculation puts the energy above the most stable polymorph in this dataset at 244 meV per atom. As for the raw total energy: -4.777 eV per atom.



The following is a DFT calculation (PBE) of crystalline Ce2Ni15Pt2 at its relaxed geometry.

abc: 8.4134 8.4134 12.2735
angles: 90.00 90.00 120.00
Space group R-3m (No. 166, hexagonal axes)
One atom of each set of equivalent atoms:
1 Ce 0.0000 0.0000 0.1576 [6 per cell]
2 Ni 0.0000 0.2980 0.5000 [18 per cell]
3 Ni 0.0000 0.5000 0.0000 [9 per cell]
4 Ni 0.0057 0.5029 0.6535 [18 per cell]
5 Pt 0.0000 0.0000 0.3918 [6 per cell]

Results
As for the raw total energy: -6.075 eV per atom.



The following is a DFT calculation (PBE) of crystalline Ce3Br7Cl at its relaxed geometry.

abc: 8.7957 8.7957 6.7812
angles: 90.00 90.00 120.00
Space group P3m1 (No. 156)
One atom of each set of equivalent atoms:
1 Ce 0.0024 0.5012 0.0000 [3 per cell]
2 Br 0.1751 0.3501 0.2376 [3 per cell]
3 Br 0.3500 0.1750 0.7667 [3 per cell]
4 Br 0.6667 0.3333 0.2446 [1 per cell]
5 Cl 0.3333 0.6667 0.7883 [1 per cell]

Results
The calculation puts the uncorrected formation energy at -173.26 kJ/mol of atoms. As for the raw total energy: -4.646 eV per atom.



The following is a DFT calculation (PBE) of crystalline LiRhI3 at its relaxed geometry.

abc: 5.4817 5.4817 5.4817
angles: 90.00 90.00 90.00
Space group Pm-3m (No. 221)
One atom of each set of equivalent atoms:
1 Li 0.0000 0.0000 0.0000 [1 per cell]
2 Rh 0.5000 0.5000 0.5000 [1 per cell]
3 I 0.0000 0.5000 0.5000 [3 per cell]

Results
The calculation puts the energy above the most stable polymorph in this dataset at 0 meV per atom. The calculation puts the uncorrected formation energy at -21.36 kJ/mol of atoms. As for the raw total energy: -3.004 eV per atom.



The following is a DFT calculation (PBE) of crystalline HgW at its relaxed geometry.

abc: 4.9070 2.8381 15.8315
angles: 90.00 90.00 90.00
Space group Amm2 (No. 38)
One atom of each set of equivalent atoms:
1 Hg 0.0000 0.0000 0.0000 [2 per cell]
2 Hg 0.0000 0.0000 0.3308 [2 per cell]
3 Hg 0.5000 0.0000 0.5593 [2 per cell]
4 W 0.0000 0.0000 0.6672 [2 per cell]
5 W 0.5000 0.0000 0.2281 [2 per cell]
6 W 0.5000 0.0000 0.8836 [2 per cell]

Results
The calculation puts the energy above the most stable polymorph in this dataset at 371 meV per atom. As for the raw total energy: -5.752 eV per atom.



The following is a DFT calculation (PBE) of crystalline PmCdGa2Pt5 at its relaxed geometry.

abc: 4.1522 4.1522 9.5644
angles: 90.00 90.00 90.00
Space group P4/mmm (No. 123)
One atom of each set of equivalent atoms:
1 Pm 0.0000 0.0000 0.0000 [1 per cell]
2 Cd 0.0000 0.0000 0.5000 [1 per cell]
3 Ga 0.5000 0.5000 0.3724 [2 per cell]
4 Pt 0.0000 0.5000 0.2269 [4 per cell]
5 Pt 0.5000 0.5000 0.0000 [1 per cell]

Results
As for the raw total energy: -5.280 eV per atom.



The following is a DFT calculation (PBE) of crystalline RbRhF2 at its relaxed geometry.

abc: 3.3625 3.3625 22.9719
angles: 90.00 90.00 120.00
Space group R-3m (No. 166, hexagonal axes)
One atom of each set of equivalent atoms:
1 Rb 0.0000 0.0000 0.0000 [3 per cell]
2 Rh 0.0000 0.0000 0.5000 [3 per cell]
3 F 0.0000 0.0000 0.4126 [6 per cell]

Results
The calculation puts the energy above the most stable polymorph in this dataset at 0 meV per atom. The calculation puts the uncorrected formation energy at -128.14 kJ/mol of atoms. As for the raw total energy: -4.344 eV per atom.



The following is a DFT calculation (PBE) of crystalline Mg2ZnAg4 at its relaxed geometry.

abc: 7.6693 8.1136 4.2923
angles: 90.00 90.00 90.00
Space group Cmmm (No. 65)
One atom of each set of equivalent atoms:
1 Mg 0.2047 0.0000 0.0000 [4 per cell]
2 Zn 0.0000 0.5000 0.5000 [2 per cell]
3 Ag 0.0000 0.2900 0.0000 [4 per cell]
4 Ag 0.2500 0.2500 0.5000 [4 per cell]

Results
The calculation puts the energy above the most stable polymorph in this dataset at 0 meV per atom. As for the raw total energy: -2.348 eV per atom.